P.
Below is crystalline LiMnOs2 at its relaxed geometry, with properties calculated at the PBE-GGA level.

Structure (extended XYZ):
```
4
Lattice="-1.875 -2.429 2.963 2.189 -3.386 -1.390 2.044 0.591 1.779" Properties=species:S:1:pos:R:3 pbc="T T T"
Li 0.085 -0.919 2.371
Os 0.000 0.000 0.000
Os 0.157 -2.907 0.786
Mn 2.117 -1.397 0.194
```

## Properties
* size of the total moment: 0.408 μB/atom
* calculated volume: 12.61 Å³ per atom


Q.
Below is crystalline LiMnOs2 at its relaxed geometry, with properties calculated at the PBE-GGA level.

Structure (extended XYZ):
```
4
Lattice="2.660 0.016 0.000 -1.189 2.379 0.000 0.000 0.000 9.052" Properties=species:S:1:pos:R:3 pbc="T T T"
Os 0.000 0.000 8.978
Mn 0.735 1.198 6.883
Li 0.000 0.000 4.526
Os 0.735 1.198 2.243
```

## Properties
* size of the total moment: 0.666 μB/atom
* calculated volume: 14.37 Å³ per atom


R.
Below is crystalline LiMnOs2 at its relaxed geometry, with properties calculated at the PBE-GGA level.

Structure (extended XYZ):
```
4
Lattice="-1.655 1.999 -3.262 0.994 -1.160 -3.878 -2.830 -1.905 -2.395" Properties=species:S:1:pos:R:3 pbc="T T T"
Os -0.873 -0.266 -2.384
Mn -2.618 -0.799 -7.151
Os 0.000 0.000 0.000
Li -1.746 -0.533 -4.767
```

## Properties
* size of the total moment: 0.024 μB/atom
* calculated volume: 12.80 Å³ per atom


Stability order, top to bottom: R, P, Q


P.
Below is crystalline LiMnOs2 at its relaxed geometry, with properties calculated at the PBE-GGA level.

Structure (extended XYZ):
```
4
Lattice="-2.909 3.518 0.798 -3.189 2.849 -1.785 -3.780 -2.457 1.047" Properties=species:S:1:pos:R:3 pbc="T T T"
Mn -7.243 2.939 0.026
Os -2.427 1.081 -0.016
Os -0.131 -0.042 0.025
Li -5.015 1.886 0.056
```

## Properties
* size of the total moment: 0.718 μB/atom
* calculated volume: 13.60 Å³ per atom


Q.
Below is crystalline LiMnOs2 at its relaxed geometry, with properties calculated at the PBE-GGA level.

Structure (extended XYZ):
```
4
Lattice="-3.377 2.612 -0.654 -1.370 -2.039 -1.068 -1.653 -1.087 4.191" Properties=species:S:1:pos:R:3 pbc="T T T"
Os -2.554 0.311 0.167
Os -1.268 -1.829 -0.759
Mn -4.038 -1.234 1.656
Li -1.422 -1.363 1.898
```

## Properties
* size of the total moment: 0.681 μB/atom
* calculated volume: 13.40 Å³ per atom


Stability order, top to bottom: Q, P


P.
Below is crystalline LiMnOs at its relaxed geometry, with properties calculated at the PBE-GGA level.

Structure (extended XYZ):
```
3
Lattice="-0.006 -3.961 -0.910 0.502 1.200 3.851 -2.540 -0.078 0.355" Properties=species:S:1:pos:R:3 pbc="T T T"
Os -1.277 -0.570 2.489
Li -0.067 -0.002 0.009
Mn -0.699 -2.267 0.798
```

## Properties
* size of the total moment: 0.329 μB/atom
* calculated volume: 12.23 Å³ per atom


Q.
Below is crystalline LiMnOs at its relaxed geometry, with properties calculated at the PBE-GGA level.

Structure (extended XYZ):
```
3
Lattice="4.780 0.004 0.000 3.016 3.708 0.000 -3.898 -1.856 2.051" Properties=species:S:1:pos:R:3 pbc="T T T"
Mn 2.552 1.215 0.000
Li 7.761 3.696 0.000
Os 5.277 2.513 0.000
```

## Properties
* size of the total moment: 0.000 μB/atom
* calculated volume: 12.11 Å³ per atom


Stability order, top to bottom: P, Q


P.
Below is crystalline LiMnOs at its relaxed geometry, with properties calculated at the PBE-GGA level.

Structure (extended XYZ):
```
3
Lattice="3.928 0.000 0.000 1.964 3.402 0.000 1.964 1.134 3.207" Properties=species:S:1:pos:R:3 pbc="T T T"
Os 0.000 0.000 0.000
Li 3.928 2.268 1.604
Mn 5.892 3.402 2.406
```

## Properties
* size of the total moment: 0.520 μB/atom
* calculated volume: 14.29 Å³ per atom


Q.
Below is crystalline LiMnOs at its relaxed geometry, with properties calculated at the PBE-GGA level.

Structure (extended XYZ):
```
3
Lattice="4.421 -0.008 0.027 2.016 3.934 -0.027 -2.789 -2.668 2.157" Properties=species:S:1:pos:R:3 pbc="T T T"
Mn 2.105 1.284 0.000
Li 0.002 0.001 0.000
Os 4.330 2.641 0.000
```

## Properties
* size of the total moment: 0.512 μB/atom
* calculated volume: 12.46 Å³ per atom


Stability order, top to bottom: Q, P